Compound: Li2Zn5GaNi2
Source: Alexandria
Functional: PBE
Structure: optimized geometry

Computed properties:
volume = 14.9 A^3/atom
DFT formation energy = -0.113 eV per atom
M_tot = 0.00 μB/atom

a b c (Å): 3.8371 8.8172 8.8172
angles (deg): 90.00 90.00 90.00
Closest atoms and distances in Å follow each position.
Positions (direct):
Li (0.0000, 0.6748, 0.1748)  3 Ni 2.60-2.62, 2 Zn 2.90
Li (0.0000, 0.3252, 0.8252)  3 Ni 2.60-2.62, 2 Zn 2.90
Li (0.0000, 0.1748, 0.3252)  3 Ni 2.60-2.62, 2 Zn 2.90
Li (0.0000, 0.8252, 0.6748)  3 Ni 2.60-2.62, 2 Zn 2.90
Zn (0.5000, 0.2056, 0.0771)  2 Ni 2.50, 4 Zn 2.68-2.74, 2 Ga 2.73
Zn (0.5000, 0.7944, 0.9229)  2 Ni 2.50, 4 Zn 2.68-2.74, 2 Ga 2.73
Zn (0.5000, 0.0771, 0.7944)  2 Ni 2.50, 4 Zn 2.68-2.74, 2 Ga 2.73
Zn (0.5000, 0.7056, 0.4229)  2 Ni 2.50, 4 Zn 2.68-2.74, 2 Ga 2.73
Zn (0.5000, 0.9229, 0.2056)  2 Ni 2.50, 4 Zn 2.68-2.74, 2 Ga 2.73
Zn (0.5000, 0.2944, 0.5771)  2 Ni 2.50, 4 Zn 2.68-2.74, 2 Ga 2.73
Zn (0.5000, 0.5771, 0.7056)  2 Ni 2.50, 4 Zn 2.68-2.74, 2 Ga 2.73
Zn (0.5000, 0.4229, 0.2944)  2 Ni 2.50, 4 Zn 2.68-2.74, 2 Ga 2.73
Zn (0.5000, 0.5000, 0.0000)  4 Ni 2.41, 4 Zn 2.68
Zn (0.5000, 0.0000, 0.5000)  4 Ni 2.41, 4 Zn 2.68
Ga (0.0000, 0.0000, 0.0000)  8 Zn 2.73
Ga (0.0000, 0.5000, 0.5000)  8 Zn 2.73
Ni (0.0000, 0.1168, 0.6168)  6 Zn 2.41-2.50, 3 Li 2.60-2.62
Ni (0.0000, 0.8832, 0.3832)  6 Zn 2.41-2.50, 3 Li 2.60-2.62
Ni (0.0000, 0.6168, 0.8832)  6 Zn 2.41-2.50, 3 Li 2.60-2.62
Ni (0.0000, 0.3832, 0.1168)  6 Zn 2.41-2.50, 3 Li 2.60-2.62


Compound: Li2ZnGaNi
Source: Alexandria
Functional: PBE
Structure: optimized geometry

Computed properties:
volume = 18.1 A^3/atom
DFT formation energy = 0.515 eV per atom
M_tot = 0.00 μB/atom

a b c (Å): 4.4743 4.5303 4.4743
angles (deg): 90.00 90.00 90.00
Closest atoms and distances in Å follow each position.
Positions (direct):
Ni (0.5000, 0.5000, 0.5000)  4 Ga 3.16, 8 Li 3.18
Zn (0.0000, 0.0000, 0.0000)  4 Li 2.24, 2 Ga 2.27
Ga (0.0000, 0.5000, 0.0000)  2 Zn 2.27
Li (0.0000, 0.0000, 0.5000)  2 Zn 2.24
Li (0.5000, 0.0000, 0.0000)  2 Zn 2.24


Please write out number 1 again, unchanged.
Compound: Li2Zn5GaNi2
Source: Alexandria
Functional: PBE
Structure: optimized geometry

Computed properties:
volume = 14.9 A^3/atom
DFT formation energy = -0.113 eV per atom
M_tot = 0.00 μB/atom

a b c (Å): 3.8371 8.8172 8.8172
angles (deg): 90.00 90.00 90.00
Closest atoms and distances in Å follow each position.
Positions (direct):
Li (0.0000, 0.6748, 0.1748)  3 Ni 2.60-2.62, 2 Zn 2.90
Li (0.0000, 0.3252, 0.8252)  3 Ni 2.60-2.62, 2 Zn 2.90
Li (0.0000, 0.1748, 0.3252)  3 Ni 2.60-2.62, 2 Zn 2.90
Li (0.0000, 0.8252, 0.6748)  3 Ni 2.60-2.62, 2 Zn 2.90
Zn (0.5000, 0.2056, 0.0771)  2 Ni 2.50, 4 Zn 2.68-2.74, 2 Ga 2.73
Zn (0.5000, 0.7944, 0.9229)  2 Ni 2.50, 4 Zn 2.68-2.74, 2 Ga 2.73
Zn (0.5000, 0.0771, 0.7944)  2 Ni 2.50, 4 Zn 2.68-2.74, 2 Ga 2.73
Zn (0.5000, 0.7056, 0.4229)  2 Ni 2.50, 4 Zn 2.68-2.74, 2 Ga 2.73
Zn (0.5000, 0.9229, 0.2056)  2 Ni 2.50, 4 Zn 2.68-2.74, 2 Ga 2.73
Zn (0.5000, 0.2944, 0.5771)  2 Ni 2.50, 4 Zn 2.68-2.74, 2 Ga 2.73
Zn (0.5000, 0.5771, 0.7056)  2 Ni 2.50, 4 Zn 2.68-2.74, 2 Ga 2.73
Zn (0.5000, 0.4229, 0.2944)  2 Ni 2.50, 4 Zn 2.68-2.74, 2 Ga 2.73
Zn (0.5000, 0.5000, 0.0000)  4 Ni 2.41, 4 Zn 2.68
Zn (0.5000, 0.0000, 0.5000)  4 Ni 2.41, 4 Zn 2.68
Ga (0.0000, 0.0000, 0.0000)  8 Zn 2.73
Ga (0.0000, 0.5000, 0.5000)  8 Zn 2.73
Ni (0.0000, 0.1168, 0.6168)  6 Zn 2.41-2.50, 3 Li 2.60-2.62
Ni (0.0000, 0.8832, 0.3832)  6 Zn 2.41-2.50, 3 Li 2.60-2.62
Ni (0.0000, 0.6168, 0.8832)  6 Zn 2.41-2.50, 3 Li 2.60-2.62
Ni (0.0000, 0.3832, 0.1168)  6 Zn 2.41-2.50, 3 Li 2.60-2.62